Computed, not measured: a relaxed structure of ZrAgP2S at the PBEsol level of DFT.

abc: 4.8449 4.9825 4.9825
angles: 90.00 90.00 90.00
Fractional positions:
S  0.5000  0.0000  0.0000
P  0.0000  0.0000  0.5000
Zr  0.0000  0.0000  0.0000
P  0.0000  0.5000  0.0000
Ag  0.5000  0.5000  0.5000

Output
The space-group type is P4/mmm. Its spin magnetization is 0.00 μB/cell. The value obtained for the final energy is -5.3471 eV per atom. Its formation energy without anion corrections is 0.327 eV per atom. As for the density of states at the Fermi level: 4.7 states/eV/f.u.

---

Computed, not measured: a relaxed structure of HgOsRu2Pb at the PBEsol level of DFT.

abc: 4.8460 4.8460 5.1834
angles: 90.00 90.00 90.00
Site moments in Bohr magnetons follow the coordinates.
Fractional positions:
Ru  0.5000  0.0000  0.0000  1.36
Hg  0.0000  0.0000  0.0000  0.02
Ru  0.0000  0.5000  0.0000  1.36
Pb  0.0000  0.0000  0.5000  -0.06
Os  0.5000  0.5000  0.5000  2.25

Output
The space-group type is P4/mmm. Its spin magnetization is 5.16 μB/cell. The value obtained for the final energy is -4.5099 eV per atom. As for the density of states at the Fermi level: 8.6 states/eV/f.u.

---

Computed, not measured: a relaxed structure of Zn3Fe at the PBEsol level of DFT.

abc: 2.5998 3.7318 5.2670
angles: 90.00 90.00 90.00
Site moments in Bohr magnetons follow the coordinates.
Fractional positions:
Fe  0.0000  0.0000  0.0000  2.12
Zn  0.5000  0.5000  0.2366  -0.03
Zn  0.5000  0.5000  0.7634  -0.03
Zn  0.0000  0.0000  0.5000  -0.01

Output
The space-group type is Pmmm. Its spin magnetization is 2.05 μB/cell. The value obtained for the final energy is -3.3856 eV per atom. As for the density of states at the Fermi level: 2.0 states/eV/f.u.

---

Computed, not measured: a relaxed structure of Co3AsF at the PBEsol level of DFT.

abc: 3.9412 3.9412 3.9412
angles: 90.00 90.00 90.00
Site moments in Bohr magnetons follow the coordinates.
Fractional positions:
F  0.0000  0.0000  0.0000  0.16
As  0.5000  0.5000  0.5000  0.06
Co  0.5000  0.0000  0.0000  1.75
Co  0.0000  0.5000  0.0000  1.75
Co  0.0000  0.0000  0.5000  1.75

Output
The space-group type is Pm-3m. Its spin magnetization is 5.45 μB/cell. The value obtained for the final energy is -5.6279 eV per atom. Its formation energy without anion corrections is 0.421 eV per atom. As for the density of states at the Fermi level: 6.3 states/eV/f.u.

---

Computed, not measured: a relaxed structure of AlHgIr3 at the PBEsol level of DFT.

abc: 4.8224 4.8224 4.8224
angles: 90.00 90.00 90.00
Fractional positions:
Hg  0.0000  0.0000  0.0000
Ir  0.0000  0.0000  0.5000
Ir  0.0000  0.5000  0.0000
Ir  0.5000  0.0000  0.0000
Al  0.5000  0.5000  0.5000

Output
The space-group type is Pm-3m. Its spin magnetization is 0.00 μB/cell. The value obtained for the final energy is -4.4104 eV per atom. As for the density of states at the Fermi level: 7.8 states/eV/f.u.

---

Computed, not measured: a relaxed structure of ScPdOF2 at the PBEsol level of DFT.

abc: 3.9988 3.9988 4.1096
angles: 90.00 90.00 90.00
Site moments in Bohr magnetons follow the coordinates.
Fractional positions:
Pd  0.5000  0.5000  0.5000  0.77
F  0.0000  0.5000  0.0000  0.01
Sc  0.0000  0.0000  0.0000  -0.01
F  0.5000  0.0000  0.0000  0.01
O  0.0000  0.0000  0.5000  0.18

Output
The space-group type is P4/mmm. Its spin magnetization is 1.00 μB/cell. The value obtained for the final energy is -6.4860 eV per atom. Its formation energy without anion corrections is -2.152 eV per atom. As for the density of states at the Fermi level: 4.1 states/eV/f.u.

---

Computed, not measured: a relaxed structure of K2AgAsCl6 at the PBEsol level of DFT.

abc: 7.1782 7.1782 7.1782
angles: 60.00 60.00 60.00
Fractional positions:
Cl  0.2440  0.7560  0.7560
Cl  0.7560  0.7560  0.2440
Ag  0.5000  0.5000  0.5000
K  0.2500  0.2500  0.2500
As  0.0000  0.0000  0.0000
Cl  0.2440  0.2440  0.7560
Cl  0.7560  0.2440  0.7560
Cl  0.2440  0.7560  0.2440
Cl  0.7560  0.2440  0.2440
K  0.7500  0.7500  0.7500

Output
The space-group type is Fm-3m. Its spin magnetization is 0.00 μB/cell. The value obtained for the final energy is -3.4127 eV per atom. Its formation energy without anion corrections is -1.140 eV per atom.

---

Computed, not measured: a relaxed structure of TaNi2Te at the PBEsol level of DFT.

abc: 3.2199 3.2199 5.7643
angles: 90.00 90.00 90.00
Fractional positions:
Ni  0.5000  0.5000  0.2303
Ni  0.0000  0.0000  0.0244
Ta  0.0000  0.0000  0.4613
Te  0.5000  0.5000  0.7840

Output
The space-group type is P4mm. Its spin magnetization is 0.00 μB/cell. The value obtained for the final energy is -7.0361 eV per atom. Its formation energy without anion corrections is 0.062 eV per atom. As for the density of states at the Fermi level: 3.6 states/eV/f.u.

---

Computed, not measured: a relaxed structure of ZrGaPt at the PBEsol level of DFT.

abc: 3.5478 7.0968 7.0968
angles: 120.00 90.00 90.00
Fractional positions:
Ga  0.0000  0.2655  0.0000
Pt  0.5000  0.0000  0.0000
Zr  0.5000  0.0000  0.6038
Pt  0.0000  0.3333  0.6667
Zr  0.5000  0.3962  0.3962
Zr  0.5000  0.6038  0.0000
Pt  0.0000  0.6667  0.3333
Ga  0.0000  0.7345  0.7345
Ga  0.0000  0.0000  0.2655

Output
The space-group type is P-62m. Its spin magnetization is 0.00 μB/cell. The value obtained for the final energy is -7.4759 eV per atom. As for the density of states at the Fermi level: 0.7 states/eV/f.u.

---

Computed, not measured: a relaxed structure of Li2CrAuI at the PBEsol level of DFT.

abc: 4.8650 5.3065 5.3065
angles: 90.00 90.00 90.00
Site moments in Bohr magnetons follow the coordinates.
Fractional positions:
Au  0.5000  0.5000  0.5000  0.06
Li  0.0000  0.5000  0.0000  0.01
Cr  0.0000  0.0000  0.0000  3.50
I  0.5000  0.0000  0.0000  -0.01
Li  0.0000  0.0000  0.5000  0.01

Output
The space-group type is P4/mmm. Its spin magnetization is 4.14 μB/cell. The value obtained for the final energy is -3.2883 eV per atom. Its formation energy without anion corrections is 0.685 eV per atom. As for the density of states at the Fermi level: 1.5 states/eV/f.u.

---

Computed, not measured: a relaxed structure of MnBiB2Ru at the PBEsol level of DFT.

abc: 3.8478 3.8478 4.9674
angles: 90.00 90.00 90.00
Site moments in Bohr magnetons follow the coordinates.
Fractional positions:
Bi  0.0000  0.0000  0.5000  -0.02
B  0.5000  0.0000  0.0000  0.01
B  0.0000  0.5000  0.0000  0.01
Mn  0.0000  0.0000  0.0000  0.37
Ru  0.5000  0.5000  0.5000  0.78

Output
The space-group type is P4/mmm. Its spin magnetization is 1.19 μB/cell. The value obtained for the final energy is -6.2709 eV per atom. As for the density of states at the Fermi level: 5.9 states/eV/f.u.

---

Computed, not measured: a relaxed structure of AsIrOs2 at the PBEsol level of DFT.

abc: 2.8393 2.8393 6.9983
angles: 90.00 90.00 90.00
Fractional positions:
Ir  0.5000  0.5000  0.5000
Os  0.0000  0.0000  0.2363
Os  0.0000  0.0000  0.7637
As  0.5000  0.5000  0.0000

Output
The space-group type is P4/mmm. Its spin magnetization is 0.00 μB/cell. The value obtained for the final energy is -9.4461 eV per atom. As for the density of states at the Fermi level: 3.6 states/eV/f.u.

---

Copy entry 1 word for word.
Computed, not measured: a relaxed structure of ZrAgP2S at the PBEsol level of DFT.

abc: 4.8449 4.9825 4.9825
angles: 90.00 90.00 90.00
Fractional positions:
S  0.5000  0.0000  0.0000
P  0.0000  0.0000  0.5000
Zr  0.0000  0.0000  0.0000
P  0.0000  0.5000  0.0000
Ag  0.5000  0.5000  0.5000

Output
The space-group type is P4/mmm. Its spin magnetization is 0.00 μB/cell. The value obtained for the final energy is -5.3471 eV per atom. Its formation energy without anion corrections is 0.327 eV per atom. As for the density of states at the Fermi level: 4.7 states/eV/f.u.